[1]
The following is a PBE calculation of a relaxed AcTb6Nd2 crystal, from Alexandria via LeMat-Bulk.

Cell lengths 6.3144, 11.9818, 11.9818 Å; angles 96.18, 60.62, 60.62 degrees
Element x y z (fractional)
1 Ac 0.2500 0.2494 0.7506
2 Ac 0.7500 0.7506 0.2494
3 Tb 0.3121 0.6667 0.5133
4 Tb 0.1879 0.4867 0.3333
5 Tb 0.6879 0.3333 0.4867
6 Tb 0.8121 0.5133 0.6667
7 Tb 0.9555 0.9094 0.4083
8 Tb 0.5445 0.5917 0.0906
9 Tb 0.0445 0.0906 0.5917
10 Tb 0.4555 0.4083 0.9094
11 Tb 0.1892 0.8339 0.9859
12 Tb 0.3108 0.0141 0.1661
13 Tb 0.8108 0.1661 0.0141
14 Tb 0.6892 0.9859 0.8339
15 Nd 0.0013 0.6545 0.8450
16 Nd 0.4987 0.1550 0.3455
17 Nd 0.9987 0.3455 0.1550
18 Nd 0.5013 0.8450 0.6545

ΔH_f (0 K): 1.1 eV/f.u.
Polymorph energy (0 for the lowest one): 0.0 meV per atom
Spin magnetization: 0.00 μB/f.u.
Uncorrected energy: -4.485 eV/atom
Crystal system: monoclinic
SG: C2/c
DOS at the Fermi energy: 13.91 states/eV/f.u.

[2]
The following is a PBE calculation of a relaxed Ac3TbNd crystal, from Alexandria via LeMat-Bulk.

Cell lengths 3.8933, 10.1838, 10.6533 Å; angles 79.92, 100.53, 90.00 degrees
Element x y z (fractional)
1 Ac 0.9974 0.7892 0.9948
2 Ac 0.0026 0.2108 0.0052
3 Ac 0.3590 0.0445 0.7181
4 Ac 0.6410 0.9555 0.2819
5 Ac 0.1890 0.6296 0.3781
6 Ac 0.8110 0.3704 0.6219
7 Tb 0.8143 0.7654 0.6286
8 Tb 0.1857 0.2346 0.3714
9 Nd 0.5796 0.4657 0.1593
10 Nd 0.4204 0.5343 0.8407

ΔH_f (0 K): 0.5 eV/f.u.
Polymorph energy (0 for the lowest one): 0.0 meV per atom
Spin magnetization: 0.00 μB/f.u.
Uncorrected energy: -4.253 eV/atom
Crystal system: monoclinic
SG: C2/m
DOS at the Fermi energy: 7.55 states/eV/f.u.

[3]
The following is a PBE calculation of a relaxed AcTb4Nd5 crystal, from Alexandria via LeMat-Bulk.

Cell lengths 3.6241, 11.1530, 9.1494 Å; angles 83.42, 101.42, 90.00 degrees
Element x y z (fractional)
1 Ac 0.5000 0.0000 0.0000
2 Tb 0.3060 0.8878 0.6121
3 Tb 0.9525 0.7552 0.9050
4 Tb 0.6940 0.1122 0.3879
5 Tb 0.0475 0.2448 0.0950
6 Nd 0.8067 0.5989 0.6133
7 Nd 0.8625 0.2589 0.7251
8 Nd 0.1375 0.7411 0.2749
9 Nd 0.5000 0.5000 0.0000
10 Nd 0.1933 0.4011 0.3867

ΔH_f (0 K): 1.7 eV/f.u.
Polymorph energy (0 for the lowest one): 62.1 meV per atom
Spin magnetization: 0.00 μB/f.u.
Uncorrected energy: -4.476 eV/atom
Crystal system: monoclinic
SG: C2/m
DOS at the Fermi energy: 15.07 states/eV/f.u.

[4]
The following is a PBE calculation of a relaxed Ac12TbNd7 crystal, from Alexandria via LeMat-Bulk.

Cell lengths 6.7013, 12.2517, 12.2517 Å; angles 116.75, 100.51, 100.51 degrees
Element x y z (fractional)
1 Ac 0.0878 0.5873 0.1754
2 Ac 0.0875 0.1754 0.5880
3 Ac 0.5688 0.6539 0.0006
4 Ac 0.4318 0.0006 0.3466
5 Ac 0.4995 0.4120 0.5873
6 Ac 0.0851 0.6534 0.6539
7 Ac 0.9149 0.3466 0.3461
8 Ac 0.5005 0.5880 0.4127
9 Ac 0.5682 0.9994 0.6534
10 Ac 0.4312 0.3461 0.9994
11 Ac 0.9125 0.8246 0.4120
12 Ac 0.9122 0.4127 0.8246
13 Tb 0.0000 0.0000 0.0000
14 Nd 0.1089 0.7568 0.0006
15 Nd 0.8918 0.0006 0.2438
16 Nd 0.6479 0.7562 0.7568
17 Nd 0.5000 0.0000 0.0000
18 Nd 0.3521 0.2438 0.2432
19 Nd 0.1082 0.9994 0.7562
20 Nd 0.8911 0.2432 0.9994

ΔH_f (0 K): 3.7 eV/f.u.
Spin magnetization: 0.00 μB/f.u.
Uncorrected energy: -4.181 eV/atom
Crystal system: trigonal
SG: R-3
DOS at the Fermi energy: 27.62 states/eV/f.u.

[5]
The following is a PBE calculation of a relaxed Ac4Tb5Nd2 crystal, from Alexandria via LeMat-Bulk.

Cell lengths 5.3384, 8.2755, 11.3159 Å; angles 122.11, 103.64, 90.00 degrees
Element x y z (fractional)
1 Ac 0.3180 0.5483 0.6360
2 Ac 0.0439 0.3567 0.0878
3 Ac 0.6820 0.4517 0.3640
4 Ac 0.9561 0.6433 0.9122
5 Tb 0.7738 0.1731 0.5476
6 Tb 0.2262 0.8269 0.4524
7 Tb 0.8603 0.9138 0.7206
8 Tb 0.5000 0.0000 0.0000
9 Tb 0.1397 0.0862 0.2794
10 Nd 0.4069 0.2629 0.8139
11 Nd 0.5931 0.7371 0.1861

ΔH_f (0 K): 0.5 eV/f.u.
Spin magnetization: 0.00 μB/f.u.
Uncorrected energy: -4.416 eV/atom
Crystal system: monoclinic
SG: C2/m
DOS at the Fermi energy: 16.61 states/eV/f.u.

[6]
The following is a PBE calculation of a relaxed Ac7TbNd4 crystal, from Alexandria via LeMat-Bulk.

Cell lengths 7.7408, 6.7263, 12.3045 Å; angles 79.72, 51.41, 90.12 degrees
Element x y z (fractional)
1 Ac 0.7451 0.5028 0.0050
2 Ac 0.2549 0.4972 0.9950
3 Ac 0.0808 0.2804 0.6653
4 Ac 0.9192 0.7196 0.3347
5 Ac 0.3320 0.7790 0.6679
6 Ac 0.5000 0.0000 0.0000
7 Ac 0.6680 0.2210 0.3321
8 Tb 0.0000 0.0000 0.0000
9 Nd 0.4192 0.7281 0.3300
10 Nd 0.5808 0.2719 0.6700
11 Nd 0.8362 0.7780 0.6650
12 Nd 0.1638 0.2220 0.3350

ΔH_f (0 K): 0.4 eV/f.u.
Spin magnetization: 0.00 μB/f.u.
Uncorrected energy: -4.335 eV/atom
Crystal system: triclinic
SG: P-1
DOS at the Fermi energy: 18.98 states/eV/f.u.

[7]
The following is a PBE calculation of a relaxed AcTb7Nd2 crystal, from Alexandria via LeMat-Bulk.

Cell lengths 5.6599, 9.2535, 9.2535 Å; angles 123.38, 90.00, 90.00 degrees
Element x y z (fractional)
1 Ac 0.0000 0.0000 0.0000
2 Tb 0.0000 0.7741 0.2259
3 Tb 0.0000 0.2259 0.7741
4 Tb 0.5000 0.0615 0.2952
5 Tb 0.5000 0.9385 0.7048
6 Tb 0.5000 0.2952 0.0615
7 Tb 0.5000 0.7048 0.9385
8 Tb 0.5000 0.5000 0.5000
9 Nd 0.5000 0.7022 0.2978
10 Nd 0.5000 0.2978 0.7022

ΔH_f (0 K): 6.5 eV/f.u.
Polymorph energy (0 for the lowest one): 236.3 meV per atom
Spin magnetization: 0.00 μB/f.u.
Uncorrected energy: -3.951 eV/atom
Crystal system: orthorhombic
SG: Cmmm
DOS at the Fermi energy: 12.62 states/eV/f.u.

[8]
The following is a PBE calculation of a relaxed AcTb12Nd7 crystal, from Alexandria via LeMat-Bulk.

Cell lengths 8.8689, 8.8689, 8.8689 Å; angles 86.81, 86.81, 86.81 degrees
Element x y z (fractional)
1 Ac 0.0000 0.0000 0.0000
2 Tb 0.8500 0.2696 0.7209
3 Tb 0.7304 0.2791 0.1500
4 Tb 0.6239 0.1317 0.4942
5 Tb 0.8683 0.5058 0.3761
6 Tb 0.2791 0.1500 0.7304
7 Tb 0.5058 0.3761 0.8683
8 Tb 0.4942 0.6239 0.1317
9 Tb 0.7209 0.8500 0.2696
10 Tb 0.1317 0.4942 0.6239
11 Tb 0.3761 0.8683 0.5058
12 Tb 0.2696 0.7209 0.8500
13 Tb 0.1500 0.7304 0.2791
14 Nd 0.8429 0.6035 0.9330
15 Nd 0.3965 0.0670 0.1571
16 Nd 0.0670 0.1571 0.3965
17 Nd 0.5000 0.5000 0.5000
18 Nd 0.9330 0.8429 0.6035
19 Nd 0.6035 0.9330 0.8429
20 Nd 0.1571 0.3965 0.0670

ΔH_f (0 K): 4.5 eV/f.u.
Polymorph energy (0 for the lowest one): 0.0 meV per atom
Spin magnetization: 0.00 μB/f.u.
Uncorrected energy: -4.429 eV/atom
Crystal system: trigonal
SG: R-3
DOS at the Fermi energy: 37.01 states/eV/f.u.

[9]
The following is a PBE calculation of a relaxed AcTb12Nd7 crystal, from Alexandria via LeMat-Bulk.

Cell lengths 9.9111, 9.9111, 9.9111 Å; angles 109.47, 109.47, 109.47 degrees
Element x y z (fractional)
1 Ac 0.0000 0.0000 0.0000
2 Tb 0.4903 0.7452 0.7451
3 Tb 0.0001 0.7452 0.2549
4 Tb 0.5097 0.2548 0.2549
5 Tb 0.9999 0.2548 0.7451
6 Tb 0.7451 0.9999 0.2548
7 Tb 0.7451 0.4903 0.7452
8 Tb 0.2549 0.0001 0.7452
9 Tb 0.2549 0.5097 0.2548
10 Tb 0.7452 0.7451 0.4903
11 Tb 0.2548 0.2549 0.5097
12 Tb 0.7452 0.2549 0.0001
13 Tb 0.2548 0.7451 0.9999
14 Nd 0.5000 0.5000 0.0000
15 Nd 0.0000 0.5000 0.5000
16 Nd 0.5000 0.0000 0.5000
17 Nd 0.5000 0.5000 0.5000
18 Nd 0.0000 0.0000 0.5000
19 Nd 0.5000 0.0000 0.0000
20 Nd 0.0000 0.5000 0.0000

ΔH_f (0 K): 11.9 eV/f.u.
Polymorph energy (0 for the lowest one): 370.2 meV per atom
Spin magnetization: 0.00 μB/f.u.
Uncorrected energy: -4.058 eV/atom
Crystal system: cubic
SG: Im-3m
DOS at the Fermi energy: 28.66 states/eV/f.u.

[10]
The following is a PBE calculation of a relaxed Ac3Tb2Nd2 crystal, from Alexandria via LeMat-Bulk.

Cell lengths 5.6684, 3.7501, 12.9303 Å; angles 90.00, 77.34, 90.00 degrees
Element x y z (fractional)
1 Ac 0.8465 0.0000 0.3071
2 Ac 0.0000 0.0000 0.0000
3 Ac 0.1535 0.0000 0.6929
4 Tb 0.7149 0.5000 0.5702
5 Tb 0.2851 0.5000 0.4298
6 Nd 0.5734 0.5000 0.8532
7 Nd 0.4266 0.5000 0.1468

ΔH_f (0 K): 0.4 eV/f.u.
Spin magnetization: 0.00 μB/f.u.
Uncorrected energy: -4.394 eV/atom
Crystal system: orthorhombic
SG: Cmmm
DOS at the Fermi energy: 11.31 states/eV/f.u.

[11]
The following is a PBE calculation of a relaxed Ac5Tb4Nd crystal, from Alexandria via LeMat-Bulk.

Cell lengths 5.4673, 10.9829, 10.0303 Å; angles 41.47, 74.18, 75.59 degrees
Element x y z (fractional)
1 Ac 0.2006 0.8986 0.7001
2 Ac 0.7994 0.1014 0.2999
3 Ac 0.3990 0.3034 0.8986
4 Ac 0.0000 0.5000 0.5000
5 Ac 0.6010 0.6966 0.1014
6 Tb 0.6004 0.1989 0.6003
7 Tb 0.1996 0.3993 0.2015
8 Tb 0.8004 0.6007 0.7985
9 Tb 0.3996 0.8011 0.3997
10 Nd 0.0000 0.0000 0.0000

ΔH_f (0 K): 0.4 eV/f.u.
Spin magnetization: 0.00 μB/f.u.
Uncorrected energy: -4.341 eV/atom
Crystal system: monoclinic
SG: C2/m
DOS at the Fermi energy: 14.50 states/eV/f.u.

[12]
The following is a PBE calculation of a relaxed AcTb4Nd3 crystal, from Alexandria via LeMat-Bulk.

Cell lengths 3.5186, 9.1167, 9.1167 Å; angles 81.12, 78.87, 78.87 degrees
Element x y z (fractional)
1 Nd 0.7574 0.2426 0.2426
2 Nd 0.2426 0.7574 0.7574
3 Nd 0.0000 0.5000 0.5000
4 Ac 0.5000 0.0000 0.0000
5 Tb 0.6360 0.1177 0.6103
6 Tb 0.3640 0.8823 0.3897
7 Tb 0.3640 0.3897 0.8823
8 Tb 0.6360 0.6103 0.1177

ΔH_f (0 K): 1.2 eV/f.u.
Polymorph energy (0 for the lowest one): 107.3 meV per atom
Spin magnetization: 0.00 μB/f.u.
Uncorrected energy: -4.467 eV/atom
Crystal system: orthorhombic
SG: Immm
DOS at the Fermi energy: 12.84 states/eV/f.u.

[13]
The following is a PBE calculation of a relaxed AcTb2Nd crystal, from Alexandria via LeMat-Bulk.

Cell lengths 5.8820, 5.8820, 5.8820 Å; angles 60.00, 60.00, 60.00 degrees
Element x y z (fractional)
1 Nd 0.5000 0.5000 0.5000
2 Ac 0.0000 0.0000 0.0000
3 Tb 0.2500 0.2500 0.2500
4 Tb 0.7500 0.7500 0.7500

ΔH_f (0 K): 0.5 eV/f.u.
Polymorph energy (0 for the lowest one): 81.4 meV per atom
Spin magnetization: 0.00 μB/f.u.
Uncorrected energy: -4.413 eV/atom
Crystal system: cubic
SG: Fm-3m
DOS at the Fermi energy: 7.54 states/eV/f.u.

[14]
The following is a PBE calculation of a relaxed Ac4Tb3Nd4 crystal, from Alexandria via LeMat-Bulk.

Cell lengths 3.7515, 16.5119, 11.6092 Å; angles 135.33, 99.30, 90.00 degrees
Element x y z (fractional)
1 Ac 0.7799 0.2799 0.5599
2 Ac 0.2201 0.7201 0.4401
3 Ac 0.5000 0.8434 0.0000
4 Ac 0.5000 0.1566 0.0000
5 Tb 0.8976 0.8976 0.7951
6 Tb 0.1024 0.1024 0.2049
7 Tb 0.0000 0.5000 0.0000
8 Nd 0.6194 0.4594 0.2388
9 Nd 0.3806 0.2206 0.7612
10 Nd 0.3806 0.5406 0.7612
11 Nd 0.6194 0.7794 0.2388

ΔH_f (0 K): 5.8 eV/f.u.
Spin magnetization: 0.00 μB/f.u.
Uncorrected energy: -3.965 eV/atom
Crystal system: orthorhombic
SG: Immm
DOS at the Fermi energy: 19.13 states/eV/f.u.

[15]
The following is a PBE calculation of a relaxed Ac3Tb2Nd4 crystal, from Alexandria via LeMat-Bulk.

Cell lengths 5.7527, 9.3424, 7.1856 Å; angles 109.19, 89.97, 107.98 degrees
Element x y z (fractional)
1 Ac 0.5800 0.1604 0.3962
2 Ac 0.0000 0.0000 0.0000
3 Ac 0.4200 0.8396 0.6038
4 Tb 0.8489 0.6976 0.2750
5 Tb 0.1511 0.3024 0.7250
6 Nd 0.3633 0.7265 0.0380
7 Nd 0.7843 0.5687 0.7099
8 Nd 0.2157 0.4313 0.2901
9 Nd 0.6367 0.2735 0.9620

ΔH_f (0 K): 1.0 eV/f.u.
Spin magnetization: 0.00 μB/f.u.
Uncorrected energy: -4.410 eV/atom
Crystal system: triclinic
SG: P-1
DOS at the Fermi energy: 14.20 states/eV/f.u.

[16]
The following is a PBE calculation of a relaxed AcTb2Nd2 crystal, from Alexandria via LeMat-Bulk.

Cell lengths 3.6822, 5.8106, 9.0475 Å; angles 108.75, 101.72, 90.00 degrees
Element x y z (fractional)
1 Ac 0.5000 0.0000 0.5000
2 Tb 0.7840 0.7845 0.0687
3 Tb 0.2160 0.2155 0.9313
4 Nd 0.9001 0.3997 0.2990
5 Nd 0.0999 0.6003 0.7010

ΔH_f (0 K): 0.1 eV/f.u.
Polymorph energy (0 for the lowest one): 0.0 meV per atom
Spin magnetization: 0.00 μB/f.u.
Uncorrected energy: -4.552 eV/atom
Crystal system: orthorhombic
SG: Immm
DOS at the Fermi energy: 6.73 states/eV/f.u.

[17]
The following is a PBE calculation of a relaxed AcTb3Nd2 crystal, from Alexandria via LeMat-Bulk.

Cell lengths 6.7597, 7.9360, 7.9360 Å; angles 91.94, 90.00, 90.00 degrees
Element x y z (fractional)
1 Ac 0.7500 0.8879 0.8879
2 Ac 0.2500 0.1121 0.1121
3 Tb 0.2500 0.4292 0.4292
4 Tb 0.7500 0.5708 0.5708
5 Tb 0.5000 0.2549 0.7451
6 Tb 0.0000 0.2549 0.7451
7 Tb 0.5000 0.7451 0.2549
8 Tb 0.0000 0.7451 0.2549
9 Nd 0.7500 0.4015 0.1016
10 Nd 0.2500 0.5985 0.8984
11 Nd 0.2500 0.8984 0.5985
12 Nd 0.7500 0.1016 0.4015

ΔH_f (0 K): 1.3 eV/f.u.
Polymorph energy (0 for the lowest one): 0.0 meV per atom
Spin magnetization: 0.00 μB/f.u.
Uncorrected energy: -4.378 eV/atom
Crystal system: orthorhombic
SG: Cmcm
DOS at the Fermi energy: 8.80 states/eV/f.u.

[18]
The following is a PBE calculation of a relaxed Ac2Tb5Nd3 crystal, from Alexandria via LeMat-Bulk.

Cell lengths 11.6313, 10.0140, 12.3597 Å; angles 132.73, 134.90, 54.47 degrees
Element x y z (fractional)
1 Ac 0.8489 0.8586 0.7065
2 Ac 0.1511 0.1414 0.2935
3 Ac 0.3577 0.8480 0.7065
4 Ac 0.6423 0.1520 0.2935
5 Tb 0.2503 0.5003 0.0005
6 Tb 0.7497 0.4997 0.9995
7 Tb 0.9638 0.7138 0.4276
8 Tb 0.5361 0.2861 0.5722
9 Tb 0.0362 0.2862 0.5724
10 Tb 0.4639 0.7139 0.4278
11 Tb 0.7772 0.5615 0.7421
12 Tb 0.2228 0.4385 0.2579
13 Tb 0.4649 0.1806 0.7421
14 Tb 0.5351 0.8194 0.2579
15 Nd 0.2516 0.0016 0.0033
16 Nd 0.7484 0.9984 0.9967
17 Nd 0.7226 0.4352 0.2519
18 Nd 0.2774 0.5648 0.7481
19 Nd 0.0293 0.8167 0.2519
20 Nd 0.9707 0.1833 0.7481

ΔH_f (0 K): 2.0 eV/f.u.
Spin magnetization: 0.00 μB/f.u.
Uncorrected energy: -4.362 eV/atom
Crystal system: monoclinic
SG: C2/c
DOS at the Fermi energy: 15.52 states/eV/f.u.

[19]
The following is a PBE calculation of a relaxed Ac11Tb9Nd4 crystal, from Alexandria via LeMat-Bulk.

Cell lengths 3.8771, 16.1047, 16.1047 Å; angles 113.04, 90.00, 90.00 degrees
Element x y z (fractional)
1 Ac 0.0000 0.5963 0.9577
2 Ac 0.0000 0.4037 0.0423
3 Ac 0.0000 0.9577 0.5963
4 Ac 0.0000 0.0423 0.4037
5 Ac 0.0000 0.6324 0.3676
6 Ac 0.0000 0.3676 0.6324
7 Ac 0.0000 0.8411 0.1589
8 Ac 0.0000 0.1589 0.8411
9 Ac 0.0000 0.0000 0.0000
10 Ac 0.0000 0.7092 0.7092
11 Ac 0.0000 0.2908 0.2908
12 Tb 0.5000 0.6326 0.1671
13 Tb 0.5000 0.3674 0.8329
14 Tb 0.5000 0.1671 0.6326
15 Tb 0.5000 0.8329 0.3674
16 Tb 0.5000 0.7867 0.9313
17 Tb 0.5000 0.2133 0.0687
18 Tb 0.5000 0.9313 0.7867
19 Tb 0.5000 0.0687 0.2133
20 Tb 0.5000 0.5000 0.5000
21 Nd 0.5000 0.5554 0.7588
22 Nd 0.5000 0.4446 0.2412
23 Nd 0.5000 0.7588 0.5554
24 Nd 0.5000 0.2412 0.4446

ΔH_f (0 K): 2.4 eV/f.u.
Spin magnetization: 0.00 μB/f.u.
Uncorrected energy: -4.316 eV/atom
Crystal system: orthorhombic
SG: Cmmm
DOS at the Fermi energy: 35.34 states/eV/f.u.

[20]
The following is a PBE calculation of a relaxed AcTb4Nd3 crystal, from Alexandria via LeMat-Bulk.

Cell lengths 6.3894, 7.4263, 11.7889 Å; angles 90.00, 90.00, 90.00 degrees
Element x y z (fractional)
1 Ac 0.9889 0.1269 0.0000
2 Ac 0.4889 0.8731 0.5000
3 Tb 0.9793 0.6217 0.0000
4 Tb 0.4804 0.3833 0.0000
5 Tb 0.1482 0.3805 0.2521
6 Tb 0.6482 0.6195 0.2479
7 Tb 0.9804 0.6167 0.5000
8 Tb 0.4793 0.3783 0.5000
9 Tb 0.6482 0.6195 0.7521
10 Tb 0.1482 0.3805 0.7479
11 Nd 0.4824 0.8677 0.0000
12 Nd 0.1439 0.8696 0.2518
13 Nd 0.6439 0.1304 0.2482
14 Nd 0.9824 0.1323 0.5000
15 Nd 0.6439 0.1304 0.7518
16 Nd 0.1439 0.8696 0.7482

ΔH_f (0 K): 0.3 eV/f.u.
Polymorph energy (0 for the lowest one): 0.0 meV per atom
Spin magnetization: 0.00 μB/f.u.
Uncorrected energy: -4.574 eV/atom
Crystal system: orthorhombic
SG: Pmn2_1
DOS at the Fermi energy: 14.49 states/eV/f.u.